[1]
Density functional theory data (PBE) for crystalline LiTbUO5 at its relaxed geometry.

a b c (Å): 5.7259 5.7259 7.5047
angles (deg): 100.39 100.39 110.23
Last column: nearest neighbours and their distance in Å.
Element x y z (fractional)
O 0.3121 0.9636 0.6407  1 Li 1.90, 1 U 2.00
O 0.8788 0.1212 0.7500  2 U 2.19, 1 Tb 2.34
O 0.6205 0.7289 0.9431  1 Li 1.99, 1 U 2.10
O 0.0364 0.6879 0.8593  1 Li 1.90, 1 U 2.00
O 0.6879 0.0364 0.3593  1 Li 1.90, 1 U 2.00
O 0.1212 0.8788 0.2500  2 U 2.19, 1 Tb 2.34
O 0.7289 0.6205 0.4431  1 Li 1.99, 1 U 2.10
O 0.9636 0.3121 0.1407  1 Li 1.90, 1 U 2.00
O 0.2711 0.3795 0.5569  1 Li 1.99, 1 U 2.10
O 0.3795 0.2711 0.0569  1 Li 1.99, 1 U 2.10
U 0.0000 0.0000 0.5000  6 O 2.00-2.19
U 0.0000 0.0000 0.0000  6 O 2.00-2.19
Li 0.3109 0.6891 0.7500  4 O 1.90-1.99
Li 0.6891 0.3109 0.2500  4 O 1.90-1.99
Tb 0.3707 0.6293 0.2500  5 O 2.29-2.34
Tb 0.6293 0.3707 0.7500  5 O 2.29-2.34

Output
Its volume is 13.69 Å³ per atom. The space-group type is C2/c, No. 15. The mass density is 7.33 g/cm³. Its total energy is -66.9 eV/f.u. As for the formation energy without anion corrections: -3.033 eV/atom. The total moment is 0.0000 μB/atom.

=====

[2]
Density functional theory data (PBE) for crystalline La6Ni2H at its relaxed geometry.

a b c (Å): 6.6533 7.1346 10.2562
angles (deg): 90.00 90.83 90.00
Last column: nearest neighbours and their distance in Å.
Element x y z (fractional)
La 0.3345 0.8306 0.5687  1 H 2.62, 1 Ni 2.86
La 0.1655 0.3306 0.9313  1 H 2.62, 1 Ni 2.86
La 0.6753 0.1704 0.0686  1 H 2.71, 2 Ni 2.84-2.93
La 0.8345 0.6694 0.0687  1 H 2.62, 1 Ni 2.86
La 0.3507 0.5399 0.2441  1 H 2.72, 2 Ni 2.85-3.04
La 0.1493 0.0399 0.2559  1 H 2.72, 2 Ni 2.85-3.04
La 0.6655 0.1694 0.4313  1 H 2.62, 1 Ni 2.86
La 0.6493 0.4601 0.7559  1 H 2.72, 2 Ni 2.85-3.04
La 0.1753 0.3296 0.5686  1 H 2.71, 2 Ni 2.84-2.93
La 0.8247 0.6704 0.4314  1 H 2.71, 2 Ni 2.84-2.93
La 0.3247 0.8296 0.9314  1 H 2.71, 2 Ni 2.84-2.93
La 0.8507 0.9601 0.7441  1 H 2.72, 2 Ni 2.85-3.04
Ni 0.5730 0.8818 0.2457  6 La 2.84-3.04
Ni 0.4270 0.1182 0.7543  6 La 2.84-3.04
Ni 0.9270 0.3818 0.2543  6 La 2.84-3.04
Ni 0.0730 0.6182 0.7457  6 La 2.84-3.04
H 0.5000 0.5000 0.0000  6 La 2.62-2.72
H 0.0000 0.0000 0.5000  6 La 2.62-2.72

Output
Its volume is 27.04 Å³ per atom. The space-group type is P2_1/c, No. 14. The mass density is 6.49 g/cm³. Its total energy is -46.7 eV/f.u. The total moment is 0.0000 μB/atom.